Record 1
Density functional theory data (PBE) for Pr2Dy2Tl after structural relaxation.

The energy above the most stable polymorph in this dataset comes out at 0 meV per atom.

The space group is Cmc2_1 (No. 36) and the conventional cell measures 5.208, 17.256 and 6.879 Å, with angles of 90.00, 90.00 and 90.00 degrees. The asymmetric unit holds Pr at (0.000, 0.003, 0.000), Pr at (0.000, 0.199, 0.003), Dy at (0.000, 0.193, 0.484), Dy at (0.000, 0.392, 0.246) and Tl at (0.000, 0.397, 0.750).

Record 2
Density functional theory data (PBE) for Pr3Dy2Tl4 after structural relaxation.

The energy above the most stable polymorph in this dataset comes out at 0 meV per atom.

The space group is P-3m1 (No. 164) and the conventional cell measures 5.4225, 5.4225 and 10.5808 Å, with angles of 90.00, 90.00 and 120.00 degrees. The asymmetric unit holds Pr at (0.0000, 0.0000, 0.0000), Pr at (0.3333, 0.6667, 0.4201), Dy at (0.3333, 0.6667, 0.7798), Tl at (0.0000, 0.0000, 0.3422) and Tl at (0.3333, 0.6667, 0.1013).

Record 3
Density functional theory data (PBE) for Pr3DyTl4 after structural relaxation.

The energy above the most stable polymorph in this dataset comes out at 142 meV per atom.

The space group is Immm (No. 71) and the conventional cell measures 3.767, 7.389 and 18.566 Å, with angles of 90.00, 90.00 and 90.00 degrees. The asymmetric unit holds Pr at (0.000, 0.000, 0.000), Pr at (0.000, 0.500, 0.216), Dy at (0.000, 0.000, 0.500) and Tl at (0.000, 0.286, 0.374).

Record 4
Density functional theory data (PBE) for Pr4DyTl3 after structural relaxation.

The energy above the most stable polymorph in this dataset comes out at 133 meV per atom.

The space group is C2/m (No. 12) and the conventional cell measures 29.221, 3.766 and 5.048 Å, with angles of 90.00, 99.89 and 90.00 degrees. The asymmetric unit holds Pr at (0.097, 0.000, 0.098), Pr at (0.210, 0.500, 0.211), Dy at (0.000, 0.000, 0.500), Tl at (0.000, 0.500, 0.000) and Tl at (0.167, 0.000, 0.669).

Record 5
Density functional theory data (PBE) for Pr3Dy8Tl after structural relaxation.

As for the total energy: -3.96 eV per atom.

The space group is I-42m (No. 121) and the conventional cell measures 8.699, 8.699 and 11.311 Å, with angles of 90.00, 90.00 and 90.00 degrees. The asymmetric unit holds Pr at (0.000, 0.000, 0.000), Pr at (0.000, 0.500, 0.250), Dy at (0.127, 0.127, 0.753), Dy at (0.248, 0.248, 0.014) and Tl at (0.000, 0.000, 0.500).

Record 6
Density functional theory data (PBE) for Pr2DyTl9 after structural relaxation.

As for the total energy: -3.25 eV per atom.

The space group is P4/mmm (No. 123) and the conventional cell measures 4.827, 4.827 and 14.470 Å, with angles of 90.00, 90.00 and 90.00 degrees. The asymmetric unit holds Pr at (0.000, 0.000, 0.169), Dy at (0.000, 0.000, 0.500), Tl at (0.000, 0.500, 0.000), Tl at (0.000, 0.500, 0.337), Tl at (0.500, 0.500, 0.168) and Tl at (0.500, 0.500, 0.500).

What is the formula in the third record?
Pr3DyTl4